one.
HgI2Cl | the Alexandria database | PBE | optimized geometry; SG = I-42d; size of the total moment = 2.0 μB per cell; volume = 306.3 Å³ per cell
1.0
-3.150 2.147 7.218
-3.661 -7.274 0.566
0.300 -4.264 6.015
I Hg Cl
4 2 2
Cartesian
-2.487 -0.541 6.396
-2.472 -5.436 2.450
-2.172 -4.808 7.406
-5.892 -7.996 11.346
0.000 0.000 0.000
-3.128 -2.340 8.562
-3.406 -2.564 3.892
-3.383 -7.051 5.236

***

two.
HgI2Cl | the Alexandria database | PBE | optimized geometry; SG = P1; size of the total moment = 0.0 μB per cell; volume = 348.3 Å³ per cell
1.0
-4.760 -5.070 0.663
1.490 -5.640 -4.930
4.124 -6.303 2.561
I Hg Cl
4 2 2
Cartesian
0.714 -7.067 2.038
-1.727 -10.267 -0.252
0.291 -8.718 -2.113
2.078 -7.616 -3.987
2.025 -12.508 -0.262
-1.782 -9.069 2.156
-2.167 -5.540 -0.572
4.520 -9.537 -1.021

***

Order from most stable to least stable according to the calculation: two, one

***

one.
HgI2Cl | the Alexandria database | PBE | optimized geometry; SG = Cm; size of the total moment = 0.0 μB per cell; volume = 327.0 Å³ per cell
1.0
4.430 0.000 0.009
0.000 11.816 0.000
-1.639 0.000 6.244
I Hg Cl
4 2 2
Cartesian
1.759 9.145 1.725
1.759 2.671 1.725
0.939 3.237 4.847
0.939 8.578 4.847
2.013 0.000 2.482
1.194 5.908 5.604
-0.287 0.000 4.052
0.533 5.908 0.929

***

two.
HgI2Cl | the Alexandria database | PBE | optimized geometry; SG = Fm-3m; size of the total moment = 0.0 μB per cell; volume = 115.9 Å³ per cell
1.0
0.000 3.870 3.870
3.870 0.000 3.870
3.870 3.870 0.000
I Hg Cl
2 1 1
Cartesian
1.935 1.935 1.935
5.805 5.805 5.805
3.870 3.870 3.870
0.000 0.000 0.000

***

Order from most stable to least stable according to the calculation: one, two

***

one.
HgI2Cl | the Alexandria database | PBE | optimized geometry; SG = Pm; size of the total moment = 0.0 μB per cell; volume = 180.1 Å³ per cell
1.0
-7.025 1.283 1.455
-0.713 -3.334 -0.501
4.439 -1.891 6.277
I Hg Cl
2 1 1
Cartesian
4.224 -1.818 6.097
0.214 -0.710 4.425
-1.506 -0.025 2.313
-3.723 -1.329 2.286

***

two.
HgI2Cl | the Alexandria database | PBE | optimized geometry; SG = P1; size of the total moment = 0.0 μB per cell; volume = 375.7 Å³ per cell
1.0
6.088 0.078 0.058
1.128 6.445 -0.026
2.994 2.197 9.614
I Hg Cl
4 2 2
Cartesian
3.457 1.780 1.105
5.283 4.616 4.131
6.037 8.489 9.133
1.361 3.147 2.559
7.165 1.963 6.434
6.926 6.277 5.682
4.721 6.799 7.718
8.283 4.066 6.940

***

three.
HgI2Cl | the Alexandria database | PBE | optimized geometry; SG = P1; size of the total moment = 0.0 μB per cell; volume = 366.3 Å³ per cell
1.0
-0.419 6.531 2.138
-2.535 4.687 -5.686
-8.078 2.202 0.171
I Hg Cl
4 2 2
Cartesian
-3.272 6.641 0.741
-6.351 2.872 -0.759
-4.819 8.767 -4.098
-8.412 6.513 -1.811
-9.631 8.062 -3.825
-9.116 10.223 -0.123
-4.067 6.310 -3.426
-8.772 10.308 -2.683

***

Order from most stable to least stable according to the calculation: three, two, one

***

one.
HgI2Cl | the Alexandria database | PBE | optimized geometry; SG = Amm2; size of the total moment = 0.0 μB per cell; volume = 384.5 Å³ per cell
1.0
-0.677 1.090 3.173
-3.162 -10.745 3.015
9.119 -1.950 2.616
I Hg Cl
4 2 2
Cartesian
4.396 -9.022 4.037
5.709 -4.560 2.785
1.418 -2.674 1.221
-0.431 -8.957 2.984
3.410 -0.729 0.978
6.388 -7.076 3.794
4.906 -0.577 3.091
-1.234 -4.974 3.291

***

two.
HgI2Cl | the Alexandria database | PBE | optimized geometry; SG = Imm2; size of the total moment = 0.0 μB per cell; volume = 339.9 Å³ per cell
1.0
-2.534 1.912 1.343
-6.093 0.995 -12.911
-3.634 -5.714 1.275
I Hg Cl
4 2 2
Cartesian
-3.236 -1.545 -3.907
-5.246 -1.216 -8.166
-9.367 -2.948 -9.053
-5.284 -3.615 -0.402
-3.439 -0.120 -6.318
-3.478 -2.520 1.447
-1.203 -1.891 0.422
-7.334 -3.295 -4.725

***

Order from most stable to least stable according to the calculation: one, two